Computed, not measured: an optimized crystal structure of Sm3Y7Sc at the PBE level of DFT.

Cell: 9.8806 9.8806 13.1580 Å, 79.39 79.39 138.94°
Last column: nearest neighbours and their distance in Å.
Sites, in units of the cell vectors:
Y 0.8772 0.5589 0.0298  4 Y 3.41-3.56, 1 Sc 3.43, 3 Sm 3.44-3.46
Y 0.9161 0.0874 0.2494  3 Y 3.17-3.41, 2 Sm 3.50
Y 0.5589 0.8772 0.0298  4 Y 3.41-3.56, 1 Sc 3.43, 3 Sm 3.44-3.46
Y 0.9126 0.0839 0.7506  3 Y 3.17-3.41, 2 Sm 3.50
Y 0.5011 0.5011 0.2502  2 Sc 3.28-3.30, 2 Sm 3.29-3.30
Y 0.1215 0.4395 0.4712  4 Y 3.41-3.55, 1 Sc 3.42, 3 Sm 3.44-3.46
Y 0.8785 0.5605 0.5288  4 Y 3.41-3.55, 1 Sc 3.42, 3 Sm 3.44-3.46
Y 0.0874 0.9161 0.2494  3 Y 3.17-3.41, 2 Sm 3.50
Y 0.4395 0.1215 0.4712  4 Y 3.41-3.55, 1 Sc 3.42, 3 Sm 3.44-3.46
Y 0.4411 0.1228 0.9702  4 Y 3.41-3.56, 1 Sc 3.43, 3 Sm 3.44-3.46
Y 0.0839 0.9126 0.7506  3 Y 3.17-3.41, 2 Sm 3.50
Y 0.4989 0.4989 0.7498  2 Sc 3.28-3.30, 2 Sm 3.29-3.30
Y 0.1228 0.4411 0.9702  4 Y 3.41-3.56, 1 Sc 3.43, 3 Sm 3.44-3.46
Y 0.5605 0.8785 0.5288  4 Y 3.41-3.55, 1 Sc 3.42, 3 Sm 3.44-3.46
Sm 0.0008 0.5000 0.7493  6 Y 3.45-3.50, 2 Sm 3.47
Sm 0.9992 0.5000 0.2507  6 Y 3.45-3.50, 2 Sm 3.47
Sm 0.0000 0.0000 0.0000  10 Y 3.29-3.65, 2 Sc 3.47
Sm 0.5000 0.9992 0.2507  6 Y 3.45-3.50, 2 Sm 3.47
Sm 0.0000 0.0000 0.5000  10 Y 3.30-3.65, 2 Sc 3.47
Sm 0.5000 0.0008 0.7493  6 Y 3.45-3.50, 2 Sm 3.47
Sc 0.5000 0.5000 0.0000  10 Y 3.30-3.65, 2 Sm 3.47
Sc 0.5000 0.5000 0.5000  10 Y 3.28-3.67, 2 Sm 3.47

Properties
As for the energy: -5.823 eV per atom. The value obtained for the energy relative to the lowest polymorph listed for this composition is 0.0 meV/atom. Its space group is No. 12. The formation energy is 1.68 eV per formula unit.